# 1
! NpGa4 PBE-GGA relaxed; values from VASP
&SYSTEM
  ibrav = 0, nat = 20, ntyp = 2
/
ATOMIC_SPECIES
Np 237.00 Np.upf
Ga 69.72 Ga.upf
ATOMIC_POSITIONS crystal
Np 0.089 0.411 0.000
Np 0.411 0.911 0.000
Np 0.589 0.089 0.000
Np 0.911 0.589 0.000
Ga 0.000 0.000 0.233
Ga 0.000 0.000 0.767
Ga 0.102 0.210 0.500
Ga 0.109 0.609 0.500
Ga 0.210 0.898 0.500
Ga 0.290 0.398 0.500
Ga 0.391 0.109 0.500
Ga 0.398 0.710 0.500
Ga 0.500 0.500 0.233
Ga 0.500 0.500 0.767
Ga 0.602 0.290 0.500
Ga 0.609 0.891 0.500
Ga 0.710 0.602 0.500
Ga 0.790 0.102 0.500
Ga 0.891 0.391 0.500
Ga 0.898 0.790 0.500
CELL_PARAMETERS angstrom
9.555 0.000 0.000
0.000 9.555 0.000
0.000 0.000 4.998
! - formation energy (eV/atom) = 0.27
! - energy above the lowest structure with this stoichiometry (meV/atom) = 433
! - VASP energy (eV per atom) = -4.736

# 2
! BeCu2Sb2 PBE-GGA relaxed; values from VASP
&SYSTEM
  ibrav = 0, nat = 10, ntyp = 3
/
ATOMIC_SPECIES
Be 9.01 Be.upf
Cu 63.55 Cu.upf
Sb 121.76 Sb.upf
ATOMIC_POSITIONS crystal
Be 0.000 0.000 0.000
Be 0.500 0.500 0.000
Cu 0.137 0.363 0.000
Cu 0.363 0.863 0.000
Cu 0.637 0.137 0.000
Cu 0.863 0.637 0.000
Sb 0.176 0.676 0.500
Sb 0.324 0.176 0.500
Sb 0.676 0.824 0.500
Sb 0.824 0.324 0.500
CELL_PARAMETERS angstrom
6.638 0.000 0.000
0.000 6.638 0.000
0.000 0.000 3.992
! - VASP energy (eV per atom) = -3.667

# 3
! HfInAs3 PBE-GGA relaxed; values from VASP
&SYSTEM
  ibrav = 0, nat = 5, ntyp = 3
/
ATOMIC_SPECIES
Hf 178.49 Hf.upf
In 114.82 In.upf
As 74.92 As.upf
ATOMIC_POSITIONS crystal
Hf 0.000 0.000 0.000
In 0.500 0.500 0.500
As 0.000 0.000 0.500
As 0.000 0.500 0.000
As 0.500 0.000 0.000
CELL_PARAMETERS angstrom
5.183 0.000 0.000
0.000 5.183 0.000
0.000 0.000 5.183
! - formation energy (eV/atom) = 0.08
! - energy above the lowest structure with this stoichiometry (meV/atom) = 0
! - VASP energy (eV per atom) = -5.247

# 4
! Ag12I5F3 PBE-GGA relaxed; values from VASP
&SYSTEM
  ibrav = 0, nat = 80, ntyp = 3
/
ATOMIC_SPECIES
Ag 107.87 Ag.upf
I 126.90 I.upf
F 19.00 F.upf
ATOMIC_POSITIONS crystal
Ag 0.030 0.717 0.638
Ag 0.030 0.813 0.392
Ag 0.079 0.217 0.187
Ag 0.079 0.362 0.892
Ag 0.108 0.687 0.470
Ag 0.108 0.921 0.638
Ag 0.138 0.217 0.530
Ag 0.138 0.421 0.608
Ag 0.187 0.079 0.217
Ag 0.187 0.608 0.970
Ag 0.217 0.187 0.079
Ag 0.217 0.530 0.138
Ag 0.283 0.362 0.970
Ag 0.283 0.421 0.313
Ag 0.313 0.283 0.421
Ag 0.313 0.530 0.892
Ag 0.362 0.892 0.079
Ag 0.362 0.970 0.283
Ag 0.392 0.030 0.813
Ag 0.392 0.862 0.579
Ag 0.421 0.313 0.283
Ag 0.421 0.608 0.138
Ag 0.470 0.108 0.687
Ag 0.470 0.862 0.783
Ag 0.530 0.138 0.217
Ag 0.530 0.892 0.313
Ag 0.579 0.392 0.862
Ag 0.579 0.687 0.717
Ag 0.608 0.138 0.421
Ag 0.608 0.970 0.187
Ag 0.638 0.030 0.717
Ag 0.638 0.108 0.921
Ag 0.687 0.470 0.108
Ag 0.687 0.717 0.579
Ag 0.717 0.579 0.687
Ag 0.717 0.638 0.030
Ag 0.783 0.470 0.862
Ag 0.783 0.813 0.921
Ag 0.813 0.392 0.030
Ag 0.813 0.921 0.783
Ag 0.862 0.579 0.392
Ag 0.862 0.783 0.470
Ag 0.892 0.079 0.362
Ag 0.892 0.313 0.530
Ag 0.921 0.638 0.108
Ag 0.921 0.783 0.813
Ag 0.970 0.187 0.608
Ag 0.970 0.283 0.362
I 0.000 0.000 0.000
I 0.000 0.000 0.500
I 0.000 0.500 0.000
I 0.000 0.500 0.500
I 0.125 0.750 0.875
I 0.125 0.875 0.250
I 0.250 0.125 0.875
I 0.250 0.625 0.375
I 0.375 0.250 0.625
I 0.375 0.625 0.750
I 0.500 0.000 0.000
I 0.500 0.000 0.500
I 0.500 0.500 0.000
I 0.500 0.500 0.500
I 0.625 0.375 0.250
I 0.625 0.750 0.375
I 0.750 0.375 0.625
I 0.750 0.875 0.125
I 0.875 0.125 0.750
I 0.875 0.250 0.125
F 0.125 0.250 0.375
F 0.125 0.375 0.750
F 0.250 0.375 0.125
F 0.250 0.875 0.625
F 0.375 0.125 0.250
F 0.375 0.750 0.125
F 0.625 0.250 0.875
F 0.625 0.875 0.750
F 0.750 0.125 0.375
F 0.750 0.625 0.875
F 0.875 0.625 0.250
F 0.875 0.750 0.625
CELL_PARAMETERS angstrom
-8.338 8.338 8.338
8.338 -8.338 8.338
8.338 8.338 -8.338
! - VASP energy (eV per atom) = -2.605

# 5
! ZnGaPd5 PBE-GGA relaxed; values from VASP
&SYSTEM
  ibrav = 0, nat = 14, ntyp = 3
/
ATOMIC_SPECIES
Zn 65.41 Zn.upf
Ga 69.72 Ga.upf
Pd 106.42 Pd.upf
ATOMIC_POSITIONS crystal
Zn 0.000 0.000 0.000
Zn 0.000 0.000 0.500
Ga 0.339 0.661 0.750
Ga 0.661 0.339 0.250
Pd 0.033 0.341 0.354
Pd 0.221 0.779 0.250
Pd 0.263 0.390 0.984
Pd 0.341 0.033 0.854
Pd 0.390 0.263 0.484
Pd 0.610 0.737 0.516
Pd 0.659 0.967 0.146
Pd 0.737 0.610 0.016
Pd 0.779 0.221 0.750
Pd 0.967 0.659 0.646
CELL_PARAMETERS angstrom
4.038 -5.891 0.000
4.038 5.891 0.000
-2.067 0.000 4.548
! - formation energy (eV/atom) = -0.35
! - energy above the lowest structure with this stoichiometry (meV/atom) = 22
! - VASP energy (eV per atom) = -4.675

# 6
! Co2TcBr8 PBE-GGA relaxed; values from VASP
&SYSTEM
  ibrav = 0, nat = 11, ntyp = 3
/
ATOMIC_SPECIES
Co 58.93 Co.upf
Tc 98.00 Tc.upf
Br 79.90 Br.upf
ATOMIC_POSITIONS crystal
Co 0.166 0.166 0.387
Co 0.834 0.834 0.613
Tc 0.000 0.000 0.000
Br 0.126 0.723 0.767
Br 0.162 0.162 0.776
Br 0.277 0.874 0.233
Br 0.334 0.334 0.324
Br 0.666 0.666 0.676
Br 0.723 0.126 0.767
Br 0.838 0.838 0.224
Br 0.874 0.277 0.233
CELL_PARAMETERS angstrom
6.662 -4.586 0.000
6.662 4.586 0.000
-0.052 0.000 6.229
! - VASP energy (eV per atom) = -3.739

# 7
! Ho3HfAl8 PBE-GGA relaxed; values from VASP
&SYSTEM
  ibrav = 0, nat = 12, ntyp = 3
/
ATOMIC_SPECIES
Ho 164.93 Ho.upf
Hf 178.49 Hf.upf
Al 26.98 Al.upf
ATOMIC_POSITIONS crystal
Ho 0.000 0.000 0.000
Ho 0.126 0.126 0.126
Ho 0.624 0.624 0.624
Hf 0.500 0.500 0.500
Al 0.061 0.061 0.560
Al 0.061 0.560 0.061
Al 0.066 0.563 0.563
Al 0.312 0.312 0.312
Al 0.560 0.061 0.061
Al 0.563 0.066 0.563
Al 0.563 0.563 0.066
Al 0.813 0.813 0.813
CELL_PARAMETERS angstrom
2.735 1.579 8.960
-2.735 1.579 8.960
0.000 -3.158 8.960
! - formation energy (eV/atom) = -0.48
! - energy above the lowest structure with this stoichiometry (meV/atom) = 0
! - VASP energy (eV per atom) = -4.950

# 8
! SrPuBiBr PBE-GGA relaxed; values from VASP
&SYSTEM
  ibrav = 0, nat = 4, ntyp = 4
/
ATOMIC_SPECIES
Sr 87.62 Sr.upf
Pu 244.00 Pu.upf
Bi 208.98 Bi.upf
Br 79.90 Br.upf
ATOMIC_POSITIONS crystal
Sr 0.000 0.000 0.000
Pu 0.500 0.500 0.500
Bi 0.750 0.750 0.750
Br 0.250 0.250 0.250
CELL_PARAMETERS angstrom
0.000 3.983 3.983
3.983 0.000 3.983
3.983 3.983 0.000
! - VASP energy (eV per atom) = -6.219

# 9
! PmTiAu2 PBE-GGA relaxed; values from VASP
&SYSTEM
  ibrav = 0, nat = 4, ntyp = 3
/
ATOMIC_SPECIES
Pm 145.00 Pm.upf
Ti 47.87 Ti.upf
Au 196.97 Au.upf
ATOMIC_POSITIONS crystal
Pm 0.000 0.000 0.000
Ti 0.000 0.000 0.500
Au 0.500 0.500 0.295
Au 0.500 0.500 0.705
CELL_PARAMETERS angstrom
3.385 0.000 0.000
0.000 3.385 0.000
0.000 0.000 7.289
! - formation energy (eV/atom) = -0.50
! - energy above the lowest structure with this stoichiometry (meV/atom) = 9
! - VASP energy (eV per atom) = -5.303

# 10
! Ca2AsHAu PBE-GGA relaxed; values from VASP
&SYSTEM
  ibrav = 0, nat = 5, ntyp = 4
/
ATOMIC_SPECIES
Ca 40.08 Ca.upf
As 74.92 As.upf
H 1.01 H.upf
Au 196.97 Au.upf
ATOMIC_POSITIONS crystal
Ca 0.000 0.500 0.000
Ca 0.500 0.000 0.000
As 0.000 0.000 0.500
H 0.500 0.500 0.000
Au 0.500 0.500 0.500
CELL_PARAMETERS angstrom
4.993 0.000 0.000
0.000 4.993 0.000
0.000 0.000 3.914
! - VASP energy (eV per atom) = -3.792

# 11
! LaTlPt2 PBE-GGA relaxed; values from VASP
&SYSTEM
  ibrav = 0, nat = 4, ntyp = 3
/
ATOMIC_SPECIES
La 138.91 La.upf
Tl 204.38 Tl.upf
Pt 195.08 Pt.upf
ATOMIC_POSITIONS crystal
La 0.000 0.000 0.000
Tl 0.750 0.250 0.500
Pt 0.250 0.750 0.500
Pt 0.500 0.500 0.000
CELL_PARAMETERS angstrom
-2.160 2.160 4.734
2.160 -2.160 4.734
2.160 2.160 -4.734
! - formation energy (eV/atom) = -0.57
! - VASP energy (eV per atom) = -5.415

# 12
! ScTaHg PBE-GGA relaxed; values from VASP
&SYSTEM
  ibrav = 0, nat = 3, ntyp = 3
/
ATOMIC_SPECIES
Sc 44.96 Sc.upf
Ta 180.95 Ta.upf
Hg 200.59 Hg.upf
ATOMIC_POSITIONS crystal
Sc 0.000 0.000 0.000
Ta 0.500 0.500 0.500
Hg 0.250 0.250 0.250
CELL_PARAMETERS angstrom
0.000 3.279 3.279
3.279 0.000 3.279
3.279 3.279 0.000
! - formation energy (eV/atom) = 0.67
! - energy above the lowest structure with this stoichiometry (meV/atom) = 655
! - VASP energy (eV per atom) = -5.488

# 13
! SrHoMg PBE-GGA relaxed; values from VASP
&SYSTEM
  ibrav = 0, nat = 3, ntyp = 3
/
ATOMIC_SPECIES
Sr 87.62 Sr.upf
Ho 164.93 Ho.upf
Mg 24.30 Mg.upf
ATOMIC_POSITIONS crystal
Sr 0.000 0.000 0.000
Ho 0.296 0.296 0.000
Mg 0.669 0.669 0.000
CELL_PARAMETERS angstrom
-1.932 1.932 6.944
1.932 -1.932 6.944
1.932 1.932 -6.944
! - formation energy (eV/atom) = 0.07
! - energy above the lowest structure with this stoichiometry (meV/atom) = 26
! - VASP energy (eV per atom) = -2.551

# 14
! Pr2InNi4Ge3 PBE-GGA relaxed; values from VASP
&SYSTEM
  ibrav = 0, nat = 10, ntyp = 4
/
ATOMIC_SPECIES
Pr 140.91 Pr.upf
In 114.82 In.upf
Ni 58.69 Ni.upf
Ge 72.64 Ge.upf
ATOMIC_POSITIONS crystal
Pr 0.000 0.500 0.238
Pr 0.500 0.000 0.762
In 0.000 0.000 0.500
Ni 0.000 0.000 0.000
Ni 0.000 0.500 0.643
Ni 0.500 0.000 0.357
Ni 0.500 0.500 0.000
Ge 0.000 0.500 0.880
Ge 0.500 0.000 0.120
Ge 0.500 0.500 0.500
CELL_PARAMETERS angstrom
4.219 0.000 0.000
0.000 4.219 0.000
0.000 0.000 10.018
! - formation energy (eV/atom) = -0.60
! - VASP energy (eV per atom) = -5.523

# 15
! Nd2YEr7 PBE-GGA relaxed; values from VASP
&SYSTEM
  ibrav = 0, nat = 10, ntyp = 3
/
ATOMIC_SPECIES
Nd 144.24 Nd.upf
Y 88.91 Y.upf
Er 167.26 Er.upf
ATOMIC_POSITIONS crystal
Nd 0.208 0.792 0.000
Nd 0.792 0.208 0.000
Y 0.500 0.500 0.500
Er 0.000 0.000 0.000
Er 0.156 0.352 0.000
Er 0.316 0.684 0.500
Er 0.352 0.156 0.000
Er 0.648 0.844 0.000
Er 0.684 0.316 0.500
Er 0.844 0.648 0.000
CELL_PARAMETERS angstrom
3.230 -14.356 0.000
3.230 14.356 0.000
0.000 0.000 3.511
! - formation energy (eV/atom) = 0.15
! - energy above the lowest structure with this stoichiometry (meV/atom) = 94
! - VASP energy (eV per atom) = -4.639

# 16
! ScO4 PBE-GGA relaxed; values from VASP
&SYSTEM
  ibrav = 0, nat = 5, ntyp = 2
/
ATOMIC_SPECIES
Sc 44.96 Sc.upf
O 16.00 O.upf
ATOMIC_POSITIONS crystal
Sc 0.000 0.000 0.000
O 0.000 0.000 0.500
O 0.000 0.500 0.000
O 0.500 0.000 0.000
O 0.500 0.500 0.500
CELL_PARAMETERS angstrom
4.156 0.000 0.000
0.000 4.156 0.000
0.000 0.000 4.156
! - VASP energy (eV per atom) = -5.755

# 17
! Li2Er2TmTl2 PBE-GGA relaxed; values from VASP
&SYSTEM
  ibrav = 0, nat = 7, ntyp = 4
/
ATOMIC_SPECIES
Li 6.94 Li.upf
Er 167.26 Er.upf
Tm 168.93 Tm.upf
Tl 204.38 Tl.upf
ATOMIC_POSITIONS crystal
Li 0.104 0.104 0.104
Li 0.896 0.896 0.896
Er 0.373 0.373 0.373
Er 0.627 0.627 0.627
Tm 0.500 0.500 0.500
Tl 0.238 0.238 0.238
Tl 0.762 0.762 0.762
CELL_PARAMETERS angstrom
2.391 1.380 8.859
-2.391 1.380 8.859
0.000 -2.761 8.859
! - formation energy (eV/atom) = -0.16
! - VASP energy (eV per atom) = -3.322

# 18
! LaMg2Os PBE-GGA relaxed; values from VASP
&SYSTEM
  ibrav = 0, nat = 4, ntyp = 3
/
ATOMIC_SPECIES
La 138.91 La.upf
Mg 24.30 Mg.upf
Os 190.23 Os.upf
ATOMIC_POSITIONS crystal
La 0.000 0.000 0.000
Mg 0.500 0.500 0.285
Mg 0.500 0.500 0.715
Os 0.000 0.000 0.500
CELL_PARAMETERS angstrom
3.030 0.000 0.000
0.000 4.621 0.000
0.000 0.000 5.944
! - formation energy (eV/atom) = 0.24
! - VASP energy (eV per atom) = -4.596

# 19
! Er5Te2Pt2 PBE-GGA relaxed; values from VASP
&SYSTEM
  ibrav = 0, nat = 18, ntyp = 3
/
ATOMIC_SPECIES
Er 167.26 Er.upf
Te 127.60 Te.upf
Pt 195.08 Pt.upf
ATOMIC_POSITIONS crystal
Er 0.000 0.000 0.000
Er 0.040 0.722 0.658
Er 0.222 0.540 0.158
Er 0.278 0.960 0.658
Er 0.460 0.778 0.158
Er 0.500 0.500 0.500
Er 0.540 0.222 0.842
Er 0.722 0.040 0.342
Er 0.778 0.460 0.842
Er 0.960 0.278 0.342
Te 0.208 0.208 0.000
Te 0.292 0.292 0.500
Te 0.708 0.708 0.500
Te 0.792 0.792 0.000
Pt 0.140 0.860 0.363
Pt 0.360 0.640 0.863
Pt 0.640 0.360 0.137
Pt 0.860 0.140 0.637
CELL_PARAMETERS angstrom
7.774 -3.872 0.000
7.774 3.872 0.000
0.000 0.000 7.740
! - VASP energy (eV per atom) = -5.790

# 20
! AcAl4Ni PBE-GGA relaxed; values from VASP
&SYSTEM
  ibrav = 0, nat = 12, ntyp = 3
/
ATOMIC_SPECIES
Ac 227.00 Ac.upf
Al 26.98 Al.upf
Ni 58.69 Ni.upf
ATOMIC_POSITIONS crystal
Ac 0.114 0.886 0.750
Ac 0.886 0.114 0.250
Al 0.082 0.918 0.250
Al 0.306 0.694 0.558
Al 0.306 0.694 0.942
Al 0.500 0.500 0.000
Al 0.500 0.500 0.500
Al 0.694 0.306 0.058
Al 0.694 0.306 0.442
Al 0.918 0.082 0.750
Ni 0.226 0.774 0.250
Ni 0.774 0.226 0.750
CELL_PARAMETERS angstrom
2.109 -8.163 0.000
2.109 8.163 0.000
0.000 0.000 6.854
! - formation energy (eV/atom) = -0.44
! - VASP energy (eV per atom) = -4.586

Ordered magnetization results: 0.5383; 0.0000; 0.0000; 0.0000; 0.0000; 0.8182; 0.0000; 1.4968; 0.1572; 0.0000; 0.0000; 0.0000; 0.1252; 0.0000; 0.0000; 1.0000; 0.0000; 0.0897; 0.0000; 0.0000; unit μB/atom.